A relaxed structure of CaVGe2Mo. Source: the Alexandria database, functional PBE.

abc: 4.8206 4.5850 4.8206
angles: 90.00 90.00 90.00
With the nearest neighbours (Å) after each atom.
Element x y z (fractional)
Mo1 0.0000 0.5000 0.0000  2 V 2.29
Ca1 0.5000 0.5000 0.5000  8 Ge 3.33, 4 Mo 3.41
Ge1 0.0000 0.0000 0.5000  2 V 2.41
Ge2 0.5000 0.0000 0.0000  2 V 2.41
V1 0.0000 0.0000 0.0000  2 Mo 2.29, 4 Ge 2.41

- volume (Å³/f.u.) = 106.5
- space group = P4/mmm
- energy (eV/atom) = -5.883